Record 1
# BaAl2Ag3

A geometry-optimized BaAl2Ag3 structure (PBE-GGA, Alexandria via LeMat-Bulk).

Its crystal system is orthorhombic. The space group is Cmcm.

a = 7.1169 Å, b = 7.1169 Å, c = 5.5873 Å
α = 90.00°, β = 90.00°, γ = 76.47°
Closest atoms and distances in Å follow each position.
Atoms (fractional coordinates):
Ba 0.1729 0.8271 0.7500  9 Ag 3.45-3.62
Ba 0.8271 0.1729 0.2500  9 Ag 3.45-3.62
Al 0.2969 0.2969 0.0000  6 Ag 2.66-2.81, 2 Al 2.79
Al 0.2969 0.2969 0.5000  6 Ag 2.66-2.81, 2 Al 2.79
Al 0.7031 0.7031 0.0000  6 Ag 2.66-2.81, 2 Al 2.79
Al 0.7031 0.7031 0.5000  6 Ag 2.66-2.81, 2 Al 2.79
Ag 0.0259 0.5781 0.2500  4 Al 2.66-2.81, 1 Ag 2.89
Ag 0.4219 0.9741 0.2500  4 Al 2.66-2.81, 1 Ag 2.89
Ag 0.4350 0.5650 0.2500  4 Al 2.73, 4 Ag 2.89-3.02
Ag 0.5650 0.4350 0.7500  4 Al 2.73, 4 Ag 2.89-3.02
Ag 0.5781 0.0259 0.7500  4 Al 2.66-2.81, 1 Ag 2.89
Ag 0.9741 0.4219 0.7500  4 Al 2.66-2.81, 1 Ag 2.89

***

Record 2
# BaAlAg2

A geometry-optimized BaAlAg2 structure (PBE-GGA, Alexandria via LeMat-Bulk).

Its crystal system is orthorhombic. The space group is Pnma.

a = 7.8856 Å, b = 4.7685 Å, c = 11.3310 Å
α = 90.00°, β = 90.00°, γ = 90.00°
Closest atoms and distances in Å follow each position.
Atoms (fractional coordinates):
Ba 0.1565 0.2500 0.1298  9 Ag 3.36-3.73, 1 Al 3.65
Ba 0.3435 0.7500 0.6298  9 Ag 3.36-3.73, 1 Al 3.65
Ba 0.6565 0.2500 0.3702  9 Ag 3.36-3.73, 1 Al 3.65
Ba 0.8435 0.7500 0.8702  9 Ag 3.36-3.73, 1 Al 3.65
Al 0.0249 0.7500 0.3963  5 Ag 2.64-2.73
Al 0.4751 0.2500 0.8963  5 Ag 2.64-2.73
Al 0.5249 0.7500 0.1037  5 Ag 2.64-2.73
Al 0.9751 0.2500 0.6037  5 Ag 2.64-2.73
Ag 0.1616 0.2500 0.8055  2 Al 2.68-2.72, 2 Ag 2.98
Ag 0.1896 0.2500 0.4251  3 Al 2.64-2.73
Ag 0.3104 0.7500 0.9251  3 Al 2.64-2.73
Ag 0.3384 0.7500 0.3055  2 Al 2.68-2.72, 2 Ag 2.98
Ag 0.6616 0.2500 0.6945  2 Al 2.68-2.72, 2 Ag 2.98
Ag 0.6896 0.2500 0.0749  3 Al 2.64-2.73
Ag 0.8104 0.7500 0.5749  3 Al 2.64-2.73
Ag 0.8384 0.7500 0.1945  2 Al 2.68-2.72, 2 Ag 2.98

***

Record 3
# BaAl6Ag12

A geometry-optimized BaAl6Ag12 structure (PBE-GGA, Alexandria via LeMat-Bulk).

Its crystal system is trigonal. The space group is R-3m.

a = 7.5231 Å, b = 7.5231 Å, c = 7.5231 Å
α = 104.34°, β = 104.34°, γ = 104.34°
Closest atoms and distances in Å follow each position.
Atoms (fractional coordinates):
Ba 0.0000 0.0000 0.0000  6 Ag 3.46
Al 0.2688 0.2688 0.6968  7 Ag 2.61-2.74
Al 0.2688 0.6968 0.2688  7 Ag 2.61-2.74
Al 0.3032 0.7312 0.7312  7 Ag 2.61-2.74
Al 0.6968 0.2688 0.2688  7 Ag 2.61-2.74
Al 0.7312 0.3032 0.7312  7 Ag 2.61-2.74
Al 0.7312 0.7312 0.3032  7 Ag 2.61-2.74
Ag 0.1176 0.5000 0.8824  4 Al 2.61-2.71, 3 Ag 2.79-2.91
Ag 0.1176 0.8824 0.5000  4 Al 2.61-2.71, 3 Ag 2.79-2.91
Ag 0.1450 0.4071 0.4071  3 Al 2.70-2.74, 2 Ag 2.91
Ag 0.4071 0.1450 0.4071  3 Al 2.70-2.74, 2 Ag 2.91
Ag 0.4071 0.4071 0.1450  3 Al 2.70-2.74, 2 Ag 2.91
Ag 0.5000 0.1176 0.8824  4 Al 2.61-2.71, 3 Ag 2.79-2.91
Ag 0.5000 0.8824 0.1176  4 Al 2.61-2.71, 3 Ag 2.79-2.91
Ag 0.5929 0.5929 0.8550  3 Al 2.70-2.74, 2 Ag 2.91
Ag 0.5929 0.8550 0.5929  3 Al 2.70-2.74, 2 Ag 2.91
Ag 0.8550 0.5929 0.5929  3 Al 2.70-2.74, 2 Ag 2.91
Ag 0.8824 0.1176 0.5000  4 Al 2.61-2.71, 3 Ag 2.79-2.91
Ag 0.8824 0.5000 0.1176  4 Al 2.61-2.71, 3 Ag 2.79-2.91

***

Record 4
# BaAlAg4

A geometry-optimized BaAlAg4 structure (PBE-GGA, Alexandria via LeMat-Bulk).

The energy above the most stable polymorph in this dataset comes out at 46 meV/atom. Its crystal system is cubic. The space group is F-43m.

a = 5.7816 Å, b = 5.7816 Å, c = 5.7816 Å
α = 60.00°, β = 60.00°, γ = 60.00°
Closest atoms and distances in Å follow each position.
Atoms (fractional coordinates):
Ba 0.0000 0.0000 0.0000  12 Ag 3.39, 4 Al 3.54
Al 0.7500 0.7500 0.7500  12 Ag 3.39, 4 Ba 3.54
Ag 0.3764 0.3764 0.3764  6 Ag 2.86-2.92
Ag 0.3764 0.3764 0.8707  6 Ag 2.86-2.92
Ag 0.3764 0.8707 0.3764  6 Ag 2.86-2.92
Ag 0.8707 0.3764 0.3764  6 Ag 2.86-2.92

***

Record 5
# BaAlAg4

A geometry-optimized BaAlAg4 structure (PBE-GGA, Alexandria via LeMat-Bulk).

The energy above the most stable polymorph in this dataset comes out at 0 meV/atom. Its crystal system is triclinic. The space group is P-1.

a = 6.0326 Å, b = 6.8514 Å, c = 7.2147 Å
α = 98.36°, β = 94.17°, γ = 100.47°
Closest atoms and distances in Å follow each position.
Atoms (fractional coordinates):
Ba 0.1806 0.2859 0.4314  6 Ag 3.26-3.63
Ba 0.8194 0.7141 0.5686  6 Ag 3.26-3.63
Al 0.0000 0.5000 0.0000  6 Ag 2.60-2.67
Al 0.5000 0.0000 0.0000  8 Ag 2.65-2.84
Ag 0.1480 0.1612 0.9096  2 Al 2.65, 1 Ag 2.95
Ag 0.2854 0.7564 0.2471  2 Al 2.60-2.84, 2 Ag 2.81-2.85
Ag 0.3639 0.8979 0.6361  1 Al 2.65, 3 Ag 2.81-2.88
Ag 0.4016 0.5964 0.8697  2 Al 2.67-2.73, 3 Ag 2.77-2.97
Ag 0.5984 0.4036 0.1303  2 Al 2.67-2.73, 3 Ag 2.77-2.97
Ag 0.6361 0.1021 0.3639  1 Al 2.65, 3 Ag 2.81-2.88
Ag 0.7146 0.2436 0.7529  2 Al 2.60-2.84, 2 Ag 2.81-2.85
Ag 0.8520 0.8388 0.0904  2 Al 2.65, 1 Ag 2.95

***

Record 6
# Ba3Al4Ag2

A geometry-optimized Ba3Al4Ag2 structure (PBE-GGA, Alexandria via LeMat-Bulk).

Its crystal system is monoclinic. The space group is C2/m.

a = 6.6310 Å, b = 6.6310 Å, c = 10.4384 Å
α = 110.97°, β = 110.97°, γ = 39.55°
Closest atoms and distances in Å follow each position.
Atoms (fractional coordinates):
Ba 0.0000 0.0000 0.0000  6 Al 3.54-3.59, 4 Ag 3.80
Ba 0.4164 0.4164 0.3112  3 Ag 3.52-3.54, 6 Al 3.57-3.75, 1 Ba 3.69
Ba 0.5836 0.5836 0.6888  3 Ag 3.52-3.54, 6 Al 3.57-3.75, 1 Ba 3.69
Al 0.1767 0.1767 0.4352  3 Ag 2.70-2.75, 2 Al 2.89
Al 0.2667 0.2667 0.9444  2 Al 2.63, 1 Ag 2.70
Al 0.7333 0.7333 0.0556  2 Al 2.63, 1 Ag 2.70
Al 0.8233 0.8233 0.5648  3 Ag 2.70-2.75, 2 Al 2.89
Ag 0.3088 0.3088 0.7093  4 Al 2.70-2.75
Ag 0.6912 0.6912 0.2907  4 Al 2.70-2.75

***

Record 7
# BaAl4Ag8

A geometry-optimized BaAl4Ag8 structure (PBE-GGA, Alexandria via LeMat-Bulk).

Its crystal system is tetragonal. The space group is I4/mmm.

a = 7.3292 Å, b = 7.3292 Å, c = 7.3292 Å
α = 97.80°, β = 97.80°, γ = 136.76°
Closest atoms and distances in Å follow each position.
Atoms (fractional coordinates):
Ba 0.0000 0.0000 0.0000  12 Ag 3.36-3.47, 8 Al 3.66
Al 0.0000 0.0000 0.5000  2 Al 2.70, 8 Ag 2.77-2.92
Al 0.0000 0.5000 0.0000  2 Al 2.70, 8 Ag 2.77-2.92
Al 0.5000 0.0000 0.0000  2 Al 2.70, 8 Ag 2.77-2.92
Al 0.5000 0.5000 0.5000  2 Al 2.70, 8 Ag 2.77-2.92
Ag 0.0000 0.3491 0.3491  5 Ag 2.91-3.01, 4 Al 2.92
Ag 0.0000 0.6509 0.6509  5 Ag 2.91-3.01, 4 Al 2.92
Ag 0.2738 0.5000 0.7738  4 Al 2.77, 6 Ag 2.95-3.08
Ag 0.3491 0.0000 0.3491  5 Ag 2.91-3.01, 4 Al 2.92
Ag 0.5000 0.2738 0.7738  4 Al 2.77, 6 Ag 2.95-3.08
Ag 0.5000 0.7262 0.2262  4 Al 2.77, 6 Ag 2.95-3.08
Ag 0.6509 0.0000 0.6509  5 Ag 2.91-3.01, 4 Al 2.92
Ag 0.7262 0.5000 0.2262  4 Al 2.77, 6 Ag 2.95-3.08

***

Record 8
# Ba3Al8Ag3

A geometry-optimized Ba3Al8Ag3 structure (PBE-GGA, Alexandria via LeMat-Bulk).

The energy above the most stable polymorph in this dataset comes out at 0 meV/atom. Its crystal system is orthorhombic. The space group is Immm.

a = 9.0847 Å, b = 9.0847 Å, c = 9.0847 Å
α = 151.25°, β = 98.67°, γ = 88.42°
Closest atoms and distances in Å follow each position.
Atoms (fractional coordinates):
Ba 0.0000 0.0000 0.0000  12 Al 3.82-3.97, 2 Ba 3.84, 4 Ag 3.96
Ba 0.2945 0.2945 0.0000  10 Al 3.46-3.73, 4 Ag 3.50-3.77, 1 Ba 3.84
Ba 0.7055 0.7055 0.0000  10 Al 3.46-3.73, 4 Ag 3.50-3.77, 1 Ba 3.84
Al 0.0005 0.3146 0.6859  1 Ag 2.64, 3 Al 2.67-2.80
Al 0.1890 0.8902 0.2988  4 Al 2.67-2.86, 3 Ag 2.68-2.78
Al 0.3713 0.6854 0.6859  1 Ag 2.64, 3 Al 2.67-2.80
Al 0.4086 0.1098 0.2988  4 Al 2.67-2.86, 3 Ag 2.68-2.78
Al 0.5914 0.8902 0.7012  4 Al 2.67-2.86, 3 Ag 2.68-2.78
Al 0.6287 0.3146 0.3141  1 Ag 2.64, 3 Al 2.67-2.80
Al 0.8110 0.1098 0.7012  4 Al 2.67-2.86, 3 Ag 2.68-2.78
Al 0.9995 0.6854 0.3141  1 Ag 2.64, 3 Al 2.67-2.80
Ag 0.2754 0.5000 0.7754  6 Al 2.64-2.68
Ag 0.5000 0.0000 0.5000  4 Al 2.78
Ag 0.7246 0.5000 0.2246  6 Al 2.64-2.68

***

Record 9
# BaCa2AlAg

A geometry-optimized BaCa2AlAg structure (PBE-GGA, Alexandria via LeMat-Bulk).

Its crystal system is tetragonal. The space group is P4/mmm.

a = 5.8046 Å, b = 5.8046 Å, c = 5.1351 Å
α = 90.00°, β = 90.00°, γ = 90.00°
Closest atoms and distances in Å follow each position.
Atoms (fractional coordinates):
Ba 0.0000 0.0000 0.0000  8 Ca 3.87, 4 Al 4.10
Ca 0.0000 0.5000 0.5000  2 Ag 2.90
Ca 0.5000 0.0000 0.5000  2 Ag 2.90
Al 0.5000 0.5000 0.0000  2 Ag 2.57
Ag 0.5000 0.5000 0.5000  2 Al 2.57

***

Record 10
# BaAlCd2Ag

A geometry-optimized BaAlCd2Ag structure (PBE-GGA, Alexandria via LeMat-Bulk).

The energy above the most stable polymorph in this dataset comes out at 131 meV/atom. Its crystal system is tetragonal. The space group is P4/mmm.

a = 5.3240 Å, b = 5.3240 Å, c = 5.1632 Å
α = 90.00°, β = 90.00°, γ = 90.00°
Closest atoms and distances in Å follow each position.
Atoms (fractional coordinates):
Ba 0.0000 0.0000 0.0000  8 Cd 3.71, 4 Ag 3.76
Al 0.5000 0.5000 0.5000  2 Ag 2.58, 4 Cd 2.66
Cd 0.0000 0.5000 0.5000  2 Al 2.66
Cd 0.5000 0.0000 0.5000  2 Al 2.66
Ag 0.5000 0.5000 0.0000  2 Al 2.58

***

Record 11
# Ba2Al4Cd3Ag

A geometry-optimized Ba2Al4Cd3Ag structure (PBE-GGA, Alexandria via LeMat-Bulk).

Its crystal system is tetragonal. The space group is P-4m2.

a = 4.8044 Å, b = 4.8044 Å, c = 11.1810 Å
α = 90.00°, β = 90.00°, γ = 90.00°
Closest atoms and distances in Å follow each position.
Atoms (fractional coordinates):
Ba 0.0000 0.5000 0.2489  6 Cd 3.64-3.68, 2 Ag 3.68, 8 Al 3.69-3.70
Ba 0.5000 0.0000 0.7511  6 Cd 3.64-3.68, 2 Ag 3.68, 8 Al 3.69-3.70
Al 0.0000 0.0000 0.5000  4 Cd 2.83
Al 0.0000 0.5000 0.8819  2 Ag 2.74, 3 Cd 2.74-2.78
Al 0.5000 0.0000 0.1181  3 Cd 2.74-2.78, 2 Ag 2.74
Al 0.5000 0.5000 0.5000  4 Cd 2.83
Cd 0.0000 0.0000 0.0000  4 Al 2.74
Cd 0.0000 0.5000 0.6331  5 Al 2.78-2.83
Cd 0.5000 0.0000 0.3669  5 Al 2.78-2.83
Ag 0.5000 0.5000 0.0000  4 Al 2.74

***

Taking the records one at a time from the top gives formation energy values of -0.269 -0.230 -0.045 -0.046 -0.092 -0.193 -0.139 -0.186 -0.044 -0.067 -0.187 eV/atom.